Compound: CdCoAs2
Source: the Alexandria database
Functional: PBE-GGA
Structure: optimized geometry

```
data_CdCoAs2
_chemical_formula_sum 'Cd1 Co1 As2'
_space_group_name_H-M_alt 'P 1'
_space_group_IT_number 1
_cell_length_a 2.917
_cell_length_b 2.917
_cell_length_c 8.252
_cell_angle_alpha 90.00
_cell_angle_beta 90.00
_cell_angle_gamma 90.00
loop_
_space_group_symop_operation_xyz
'x,y,z'
loop_
_atom_site_label
_atom_site_type_symbol
_atom_site_fract_x
_atom_site_fract_y
_atom_site_fract_z
Cd1 Cd 0.000 0.000 0.000
Co1 Co 0.500 0.500 0.238
As1 As 0.000 0.000 0.387
As2 As 0.500 0.500 0.715
```

Properties
Magnetic moment   0.09 μB/atom
ΔH_f (0 K)   0.10 eV/atom
Space-group type   P4mm, No. 99
ρ   7595 kg/m3
E_tot   -4.229 eV per atom



Compound: CdCoAs2
Source: the Alexandria database
Functional: PBE-GGA
Structure: optimized geometry

```
data_CdCoAs2
_chemical_formula_sum 'Cd2 Co2 As4'
_space_group_name_H-M_alt 'P 1'
_space_group_IT_number 1
_cell_length_a 9.949
_cell_length_b 2.874
_cell_length_c 5.593
_cell_angle_alpha 90.00
_cell_angle_beta 111.83
_cell_angle_gamma 90.00
loop_
_space_group_symop_operation_xyz
'x,y,z'
loop_
_atom_site_label
_atom_site_type_symbol
_atom_site_fract_x
_atom_site_fract_y
_atom_site_fract_z
Cd1 Cd 0.000 0.000 0.000
Cd2 Cd 0.500 0.500 0.000
Co1 Co 0.271 0.000 0.022
Co2 Co 0.771 0.500 0.022
As1 As 0.165 0.500 0.659
As2 As 0.340 0.500 0.383
As3 As 0.665 0.000 0.659
As4 As 0.840 0.000 0.383
```

Properties
Magnetic moment   0.09 μB/atom
ΔH_f (0 K)   0.04 eV/atom
Space-group type   Cm, No. 8
ρ   7186 kg/m3
E_tot   -4.286 eV per atom



Compound: CdCoAs2
Source: the Alexandria database
Functional: PBE-GGA
Structure: optimized geometry

```
data_CdCoAs2
_chemical_formula_sum 'Cd2 Co2 As4'
_space_group_name_H-M_alt 'P 1'
_space_group_IT_number 1
_cell_length_a 5.573
_cell_length_b 7.215
_cell_length_c 3.456
_cell_angle_alpha 90.00
_cell_angle_beta 90.36
_cell_angle_gamma 90.00
loop_
_space_group_symop_operation_xyz
'x,y,z'
loop_
_atom_site_label
_atom_site_type_symbol
_atom_site_fract_x
_atom_site_fract_y
_atom_site_fract_z
Cd1 Cd 0.000 0.000 0.000
Cd2 Cd 0.500 0.500 0.000
Co1 Co 0.000 0.500 0.000
Co2 Co 0.500 0.000 0.000
As1 As 0.250 0.250 0.500
As2 As 0.250 0.750 0.500
As3 As 0.750 0.250 0.500
As4 As 0.750 0.750 0.500
```

Properties
Magnetic moment   0.12 μB/atom
ΔH_f (0 K)   0.39 eV/atom
Space-group type   C2/m, No. 12
ρ   7676 kg/m3
E_tot   -3.942 eV per atom



Compound: CdCoAs2
Source: the Alexandria database
Functional: PBE-GGA
Structure: optimized geometry

```
data_CdCoAs2
_chemical_formula_sum 'Cd2 Co2 As4'
_space_group_name_H-M_alt 'P 1'
_space_group_IT_number 1
_cell_length_a 4.328
_cell_length_b 4.328
_cell_length_c 7.318
_cell_angle_alpha 90.00
_cell_angle_beta 90.00
_cell_angle_gamma 90.00
loop_
_space_group_symop_operation_xyz
'x,y,z'
loop_
_atom_site_label
_atom_site_type_symbol
_atom_site_fract_x
_atom_site_fract_y
_atom_site_fract_z
Cd1 Cd 0.000 0.000 0.000
Cd2 Cd 0.500 0.500 0.500
Co1 Co 0.000 0.000 0.500
Co2 Co 0.500 0.500 0.000
As1 As 0.000 0.500 0.250
As2 As 0.000 0.500 0.750
As3 As 0.500 0.000 0.250
As4 As 0.500 0.000 0.750
```

Properties
Magnetic moment   0.05 μB/atom
ΔH_f (0 K)   0.36 eV/atom
Space-group type   I4/mmm, No. 139
ρ   7781 kg/m3
E_tot   -3.967 eV per atom



Compound: Cd2CoAs
Source: the Alexandria database
Functional: PBE-GGA
Structure: optimized geometry

```
data_Cd2CoAs
_chemical_formula_sum 'Cd4 Co2 As2'
_space_group_name_H-M_alt 'P 1'
_space_group_IT_number 1
_cell_length_a 2.893
_cell_length_b 3.789
_cell_length_c 13.632
_cell_angle_alpha 90.00
_cell_angle_beta 90.00
_cell_angle_gamma 90.00
loop_
_space_group_symop_operation_xyz
'x,y,z'
loop_
_atom_site_label
_atom_site_type_symbol
_atom_site_fract_x
_atom_site_fract_y
_atom_site_fract_z
Cd1 Cd 0.000 0.000 0.179
Cd2 Cd 0.000 0.000 0.821
Cd3 Cd 0.500 0.500 0.321
Cd4 Cd 0.500 0.500 0.679
Co1 Co 0.000 0.500 0.500
Co2 Co 0.500 0.000 0.000
As1 As 0.000 0.500 0.000
As2 As 0.500 0.000 0.500
```

Properties
Magnetic moment   0.14 μB/atom
ΔH_f (0 K)   0.05 eV/atom
Space-group type   Immm, No. 71
ρ   7972 kg/m3
E_tot   -3.347 eV per atom



Compound: Cd2CoAs
Source: the Alexandria database
Functional: PBE-GGA
Structure: optimized geometry

```
data_Cd2CoAs
_chemical_formula_sum 'Cd2 Co1 As1'
_space_group_name_H-M_alt 'P 1'
_space_group_IT_number 1
_cell_length_a 4.304
_cell_length_b 2.953
_cell_length_c 6.458
_cell_angle_alpha 90.00
_cell_angle_beta 109.36
_cell_angle_gamma 90.00
loop_
_space_group_symop_operation_xyz
'x,y,z'
loop_
_atom_site_label
_atom_site_type_symbol
_atom_site_fract_x
_atom_site_fract_y
_atom_site_fract_z
Cd1 Cd 0.000 0.000 0.000
Cd2 Cd 0.332 0.500 0.664
Co1 Co 0.779 0.000 0.558
As1 As 0.635 0.500 0.270
```

Properties
Magnetic moment   0.00 μB/atom
ΔH_f (0 K)   0.08 eV/atom
Space-group type   Pm, No. 6
ρ   7691 kg/m3
E_tot   -3.315 eV per atom